The following is a DFT calculation (PBE) of a geometry-optimized Sr2Nd3Se6 structure.

Values from the calculation:
N(E_F) ... 3.7 states/eV/f.u.
Calculated total energy ... -5.448 eV/atom
Formation energy without anion corrections ... -1941 meV per atom

Unit cell a=7.407 b=12.814 c=7.629 alpha=90.00 beta=108.74 gamma=90.00
Space group C2/m (No. 12)
Symmetry-distinct sites (fractional):
1 Sr 0.000 0.167 0.000 [4 per cell]
2 Nd 0.000 0.000 0.500 [2 per cell]
3 Nd 0.000 0.336 0.500 [4 per cell]
4 Se 0.243 0.168 0.734 [8 per cell]
5 Se 0.248 0.500 0.737 [4 per cell]